No. 1
The following is a DFT calculation (PBE) of SiTc4 after structural relaxation.

Its spin magnetization is 0.00 μB/cell. The value obtained for the energy above the most stable polymorph in this dataset is 762 meV/atom. For the final energy, the calculation gives -8.48 eV/atom. The space group is Im-3m (229).

Cell lengths 4.7625, 4.7625, 4.7625 Å; angles 109.47, 109.47, 109.47 degrees
Last column: nearest neighbours and their distance in Å.
Element x y z (fractional)
Tc: 0.5000 0.0000 0.0000  2 Si 2.38
Tc: 0.5000 0.5000 0.5000  2 Si 2.38
Si: 0.0000 0.0000 0.0000  8 Tc 2.38
Tc: 0.0000 0.5000 0.0000  2 Si 2.38
Tc: 0.0000 0.0000 0.5000  2 Si 2.38


No. 2
The following is a DFT calculation (PBE) of SiTc2 after structural relaxation.

Its spin magnetization is 0.00 μB/cell. The value obtained for the energy above the most stable polymorph in this dataset is 130 meV/atom. For the final energy, the calculation gives -9.00 eV/atom. The space group is Cmcm (63).

Cell lengths 7.6219, 4.8382, 4.5291 Å; angles 90.00, 90.00, 90.00 degrees
Last column: nearest neighbours and their distance in Å.
Element x y z (fractional)
Si: 0.0000 0.6763 0.7500  10 Tc 2.57-2.73, 2 Si 2.84
Tc: 0.8375 0.8219 0.2500  5 Tc 2.48-2.76, 5 Si 2.57-2.73
Si: 0.5000 0.8237 0.2500  10 Tc 2.57-2.73, 2 Si 2.84
Tc: 0.3375 0.6781 0.7500  5 Tc 2.48-2.76, 5 Si 2.57-2.73
Tc: 0.8375 0.1781 0.7500  5 Tc 2.48-2.76, 5 Si 2.57-2.73
Tc: 0.6625 0.6781 0.7500  5 Tc 2.48-2.76, 5 Si 2.57-2.73
Si: 0.0000 0.3237 0.2500  10 Tc 2.57-2.73, 2 Si 2.84
Tc: 0.1625 0.8219 0.2500  5 Tc 2.48-2.76, 5 Si 2.57-2.73
Tc: 0.6625 0.3219 0.2500  5 Tc 2.48-2.76, 5 Si 2.57-2.73
Tc: 0.3375 0.3219 0.2500  5 Tc 2.48-2.76, 5 Si 2.57-2.73
Tc: 0.1625 0.1781 0.7500  5 Tc 2.48-2.76, 5 Si 2.57-2.73
Si: 0.5000 0.1763 0.7500  10 Tc 2.57-2.73, 2 Si 2.84


No. 3
The following is a DFT calculation (PBE) of SiTc2 after structural relaxation.

Its spin magnetization is 0.00 μB/cell. The value obtained for the energy above the most stable polymorph in this dataset is 679 meV/atom. For the final energy, the calculation gives -8.45 eV/atom. The space group is P6/mmm (191).

Cell lengths 4.2803, 4.2803, 2.7303 Å; angles 90.00, 90.00, 120.00 degrees
Last column: nearest neighbours and their distance in Å.
Element x y z (fractional)
Tc: 0.3333 0.6667 0.5000  5 Tc 2.47-2.73
Tc: 0.6667 0.3333 0.5000  5 Tc 2.47-2.73
Si: 0.0000 0.0000 0.0000  2 Si 2.73, 12 Tc 2.82


No. 4
The following is a DFT calculation (PBE) of SiTc2 after structural relaxation.

Its spin magnetization is 0.00 μB/cell. The value obtained for the energy above the most stable polymorph in this dataset is 92 meV/atom. For the final energy, the calculation gives -9.04 eV/atom. The space group is C2/m (12).

Cell lengths 5.0813, 4.1337, 9.0755 Å; angles 90.00, 120.06, 90.00 degrees
Last column: nearest neighbours and their distance in Å.
Element x y z (fractional)
Tc: 0.7291 0.5000 0.4834  4 Tc 2.49-2.76, 3 Si 2.59-2.63
Si: 0.3773 0.0000 0.3271  7 Tc 2.49-2.63, 1 Si 2.73
Tc: 0.8862 0.5000 0.8307  4 Si 2.49-2.57, 3 Tc 2.69-2.76
Tc: 0.7291 0.0000 0.9834  4 Tc 2.49-2.76, 3 Si 2.59-2.63
Tc: 0.1138 0.0000 0.6693  4 Si 2.49-2.57, 3 Tc 2.69-2.76
Si: 0.6227 0.0000 0.6729  7 Tc 2.49-2.63, 1 Si 2.73
Si: 0.6227 0.5000 0.1729  7 Tc 2.49-2.63, 1 Si 2.73
Tc: 0.8862 0.0000 0.3307  4 Si 2.49-2.57, 3 Tc 2.69-2.76
Tc: 0.1138 0.5000 0.1693  4 Si 2.49-2.57, 3 Tc 2.69-2.76
Tc: 0.2709 0.5000 0.5166  4 Tc 2.49-2.76, 3 Si 2.59-2.63
Tc: 0.2709 0.0000 0.0166  4 Tc 2.49-2.76, 3 Si 2.59-2.63
Si: 0.3773 0.5000 0.8271  7 Tc 2.49-2.63, 1 Si 2.73